Record 1
First-principles (PBE) data for a relaxed Ba3CuPd2O6 crystal, as listed in Alexandria via LeMat-Bulk.

Cell lengths 5.9286, 5.9286, 6.7947 Å; angles 90.00, 90.00, 120.00 degrees
Element x y z (fractional)
Ba: 0.0000 0.0000 0.0000
Ba: 0.3333 0.6667 0.6385
Ba: 0.6667 0.3333 0.3615
Cu: 0.0000 0.0000 0.5000
Pd: 0.3333 0.6667 0.1638
Pd: 0.6667 0.3333 0.8362
O: 0.1613 0.3226 0.3173
O: 0.1613 0.8387 0.3173
O: 0.3226 0.1613 0.6827
O: 0.6774 0.8387 0.3173
O: 0.8387 0.1613 0.6827
O: 0.8387 0.6774 0.6827

Properties
Density of states at the Fermi level in states/eV per atom: 0.45
Space group: No. 164
Raw formation energy in kJ/mol of formula units: -1473
M_tot in μB per formula unit: 0.000
VASP energy in eV/atom: -5.439

=====

Record 2
First-principles (PBE) data for a relaxed Ca2MnBBr crystal, as listed in Alexandria via LeMat-Bulk.

Cell lengths 5.5534, 5.5534, 3.8839 Å; angles 90.00, 90.00, 90.00 degrees
Element x y z (fractional)
Ca: 0.0000 0.5000 0.0000
Ca: 0.5000 0.0000 0.0000
Mn: 0.0000 0.0000 0.0000
B: 0.0000 0.0000 0.5000
Br: 0.5000 0.5000 0.5000

Properties
Density of states at the Fermi level in states/eV per atom: 0.68
Space group: No. 123
Raw formation energy in kJ/mol of formula units: -8
M_tot in μB per formula unit: 1.891
VASP energy in eV/atom: -4.321

=====

Record 3
First-principles (PBE) data for a relaxed SrBeIr3 crystal, as listed in Alexandria via LeMat-Bulk.

Cell lengths 4.9272, 4.9272, 4.9272 Å; angles 90.00, 90.00, 90.00 degrees
Element x y z (fractional)
Sr: 0.0000 0.0000 0.0000
Be: 0.5000 0.5000 0.5000
Ir: 0.0000 0.0000 0.5000
Ir: 0.0000 0.5000 0.0000
Ir: 0.5000 0.0000 0.0000

Properties
Density of states at the Fermi level in states/eV per atom: 0.95
ΔE_f in kcal/mol of atoms: 69.62
Space group: No. 221
M_tot in μB per formula unit: 1.033
VASP energy in eV/atom: -3.379

=====

Record 4
First-principles (PBE) data for a relaxed CoMoH2 crystal, as listed in Alexandria via LeMat-Bulk.

Cell lengths 2.7742, 2.7742, 14.4014 Å; angles 90.00, 90.00, 120.00 degrees
Element x y z (fractional)
Co: 0.0000 0.0000 0.0000
Co: 0.3333 0.6667 0.6667
Co: 0.6667 0.3333 0.3333
Mo: 0.0000 0.0000 0.5000
Mo: 0.3333 0.6667 0.1667
Mo: 0.6667 0.3333 0.8333
H: 0.0000 0.0000 0.3705
H: 0.0000 0.0000 0.6295
H: 0.3333 0.6667 0.0371
H: 0.3333 0.6667 0.2962
H: 0.6667 0.3333 0.7038
H: 0.6667 0.3333 0.9629

Properties
Density of states at the Fermi level in states/eV per atom: 0.76
Space group: No. 166
M_tot in μB per formula unit: 0.001
VASP energy in eV/atom: -6.014